Below is a relaxed structure of Sc2TiNb, with properties calculated at the PBE level.

abc: 7.5517 7.5517 6.0846
angles: 51.64 51.64 90.00
Fractional positions:
Ti 0.5000 0.5000 0.0000
Ti 0.2500 0.7500 0.5000
Sc 0.1300 0.6250 0.2500
Sc 0.3750 0.3800 0.7500
Sc 0.6200 0.1250 0.2500
Sc 0.8750 0.8700 0.7500
Nb 0.0000 0.0000 0.0000
Nb 0.7500 0.2500 0.5000

symmetry = No. 122
V = 20.79 A^3/atom
total magnetic moment = 1.9 μB/cell
distance to the lowest polymorph of the same formula = 398 meV/atom



Below is a relaxed structure of Sc2TiNb, with properties calculated at the PBE level.

abc: 3.0643 3.0643 10.2038
angles: 81.36 81.36 60.00
Fractional positions:
Sc 0.0826 0.0826 0.7521
Sc 0.2510 0.2510 0.2471
Nb 0.5002 0.5002 0.4994
Ti 0.6662 0.6662 0.0014

symmetry = No. 160
V = 20.43 A^3/atom
total magnetic moment = 0.0 μB/cell
distance to the lowest polymorph of the same formula = 0 meV/atom



Below is a relaxed structure of ScTi2Nb, with properties calculated at the PBE level.

abc: 3.4280 3.4280 6.5486
angles: 90.00 90.00 90.00
Fractional positions:
Nb 0.5000 0.5000 0.0000
Sc 0.5000 0.5000 0.5000
Ti 0.0000 0.0000 0.7907
Ti 0.0000 0.0000 0.2093

symmetry = No. 123
V = 19.24 A^3/atom
total magnetic moment = 0.0 μB/cell



Below is a relaxed structure of ScTi2Nb, with properties calculated at the PBE level.

abc: 7.3042 7.3042 5.9147
angles: 51.87 51.87 90.00
Fractional positions:
Nb 0.0000 0.0000 0.0000
Nb 0.7500 0.2500 0.5000
Ti 0.1123 0.6250 0.2500
Ti 0.3750 0.3623 0.7500
Ti 0.6377 0.1250 0.2500
Ti 0.8750 0.8877 0.7500
Sc 0.5000 0.5000 0.0000
Sc 0.2500 0.7500 0.5000

symmetry = No. 122
V = 19.22 A^3/atom
total magnetic moment = 0.0 μB/cell



Below is a relaxed structure of ScTi2Nb, with properties calculated at the PBE level.

abc: 3.0106 3.0106 9.9239
angles: 81.28 81.28 60.00
Fractional positions:
Nb 0.0000 0.0000 0.0000
Ti 0.2542 0.2542 0.2374
Ti 0.7458 0.7458 0.7626
Sc 0.5000 0.5000 0.5000

symmetry = No. 166
V = 19.17 A^3/atom
total magnetic moment = 0.0 μB/cell



Below is a relaxed structure of ScTi2Nb, with properties calculated at the PBE level.

abc: 3.0394 3.0394 9.7731
angles: 81.05 81.05 60.00
Fractional positions:
Ti 0.2539 0.2539 0.2382
Ti 0.0793 0.0793 0.7620
Nb 0.6665 0.6665 0.0005
Sc 0.5002 0.5002 0.4994

symmetry = No. 160
V = 19.23 A^3/atom
total magnetic moment = 0.0 μB/cell



Below is a relaxed structure of ScTi2Nb2, with properties calculated at the PBE level.

abc: 7.4483 7.4483 3.4384
angles: 90.00 90.00 90.00
Fractional positions:
Nb 0.1650 0.6650 0.5000
Nb 0.8350 0.3350 0.5000
Nb 0.6650 0.8350 0.5000
Nb 0.3350 0.1650 0.5000
Sc 0.0000 0.0000 0.0000
Sc 0.5000 0.5000 0.0000
Ti 0.6292 0.1292 0.0000
Ti 0.8708 0.6292 0.0000
Ti 0.3708 0.8708 0.0000
Ti 0.1292 0.3708 0.0000

symmetry = No. 127
V = 19.08 A^3/atom
total magnetic moment = 0.0 μB/cell
distance to the lowest polymorph of the same formula = 0 meV/atom



Below is a relaxed structure of ScTiNb2, with properties calculated at the PBE level.

abc: 4.7009 4.0226 4.0226
angles: 90.00 90.00 90.00
Fractional positions:
Ti 0.5000 0.5000 0.5000
Sc 0.5000 0.0000 0.0000
Nb 0.0000 0.5000 0.0000
Nb 0.0000 0.0000 0.5000

symmetry = No. 123
V = 19.02 A^3/atom
total magnetic moment = 0.0 μB/cell
distance to the lowest polymorph of the same formula = 14 meV/atom



Number 1: ΔE_f 0.5640 eV/atom. Number 2: ΔE_f 0.1657 eV/atom. Number 3: ΔE_f 0.0546 eV/atom. Number 4: ΔE_f 0.5056 eV/atom. Number 5: ΔE_f 0.1832 eV/atom. Number 6: ΔE_f 0.1604 eV/atom. Number 7: ΔE_f 0.0985 eV/atom. Number 8: ΔE_f 0.1560 eV/atom.